## Al2CoW (GGA-PBE)

Data for Al2CoW after structural relaxation.

```
Al2CoW
1.0
-1.0956 -2.4039 -3.5316
-2.1347 -2.8501 2.6022
-2.3945 1.5243 -0.2947
Co Al W
1 2 1
direct
0.5000 0.0000 0.5000 Co
0.0000 0.0000 0.0000 Al
0.5000 0.5000 0.0000 Al
0.0000 0.5000 0.5000 W
```

- E above lowest polymorph: 0.182 eV/atom
- Total DFT energy (no corrections): -27.84 eV/cell
- Space-group type: No. 123